## SbClF3 (GGA-PBE)

Data for a geometry-optimized SbClF3 structure.

```
SbClF3
1.0
4.434 0.000 0.000
0.000 4.434 0.000
0.000 0.000 4.434
Sb Cl F
1 1 3
Direct
0.000 0.000 0.000
0.500 0.500 0.500
0.000 0.500 0.500
0.500 0.000 0.500
0.500 0.500 0.000
```

Results
Energy above the most stable polymorph in this dataset in meV per atom: 1764
Energy relative to the elements, uncorrected in eV/f.u.: -0.6
DFT total energy in eV/cell: -12.23

---

## SbClF3 (GGA-PBE)

Data for a geometry-optimized SbClF3 structure.

```
SbClF3
1.0
5.343 0.000 0.000
0.000 6.811 0.000
-1.394 0.000 5.696
Sb Cl F
2 2 6
Direct
0.000 0.000 0.000
0.466 0.500 0.084
0.252 0.000 0.377
0.698 0.500 0.477
0.154 0.500 0.197
0.225 0.203 0.911
0.225 0.797 0.911
0.766 0.201 0.063
0.766 0.799 0.063
0.813 0.000 0.683
```

Results
Energy above the most stable polymorph in this dataset in meV per atom: 0
Energy relative to the elements, uncorrected in eV/f.u.: -9.5
DFT total energy in eV/cell: -42.10

---

## SbClF3 (GGA-PBE)

Data for a geometry-optimized SbClF3 structure.

```
SbClF3
1.0
4.397 0.000 0.000
0.000 4.397 0.000
0.000 0.000 4.397
Sb Cl F
1 1 3
Direct
0.000 0.000 0.000
0.500 0.500 0.500
0.000 0.000 0.500
0.000 0.500 0.000
0.500 0.000 0.000
```

Results
Energy above the most stable polymorph in this dataset in meV per atom: 362
Energy relative to the elements, uncorrected in eV/f.u.: -7.7
DFT total energy in eV/cell: -19.24